# 1
The following is a DFT calculation (PBE) of a geometry-optimized Dy4Al3Au structure.

Summary:
DFT formation energy (eV per atom): -0.50
ρ (Mg/m³): 7.9
Size of the total moment (μB/atom): 0.000

Geometry as extended XYZ:
```
8
Lattice="3.770 0.000 0.000 0.000 4.496 0.000 0.000 0.000 11.505" Properties=species:S:1:pos:R:3 pbc="T T T"
Dy 0.000 0.000 0.000
Dy 0.000 2.248 3.366
Dy 1.885 0.000 5.632
Dy 1.885 2.248 9.213
Al 0.000 0.000 8.201
Al 0.000 2.248 6.627
Al 1.885 2.248 0.848
Au 1.885 0.000 2.525
```


# 2
The following is a DFT calculation (PBE) of a geometry-optimized DyAl6Au12 structure.

Summary:
DFT formation energy (eV per atom): -0.34
ρ (Mg/m³): 12.4
Size of the total moment (μB/atom): 0.000

Geometry as extended XYZ:
```
19
Lattice="6.008 3.468 2.877 -6.008 3.468 2.877 0.000 -6.937 2.877" Properties=species:S:1:pos:R:3 pbc="T T T"
Dy 0.000 0.000 0.000
Al 0.000 -2.837 3.622
Al -2.457 1.418 3.622
Al -2.457 -1.418 5.009
Al 2.457 1.418 3.622
Al 2.457 -1.418 5.009
Al 0.000 2.837 5.009
Au -2.285 -3.958 4.315
Au -4.571 0.000 4.315
Au -1.481 -0.855 2.515
Au 1.481 -0.855 2.515
Au 0.000 1.711 2.515
Au 2.285 -3.958 4.315
Au -2.285 3.958 4.315
Au 0.000 -1.711 6.115
Au -1.481 0.855 6.115
Au 1.481 0.855 6.115
Au 4.571 0.000 4.315
Au 2.285 3.958 4.315
```


# 3
The following is a DFT calculation (PBE) of a geometry-optimized Dy2Al7Au12 structure.

Summary:
DFT formation energy (eV per atom): -0.49
ρ (Mg/m³): 12.1
Size of the total moment (μB/atom): 0.000

Geometry as extended XYZ:
```
21
Lattice="10.578 0.000 0.000 -5.289 9.161 0.000 0.000 0.000 4.080" Properties=species:S:1:pos:R:3 pbc="T T T"
Dy 0.000 6.107 0.999
Dy 5.289 3.054 3.081
Al 0.000 0.000 2.040
Al -2.631 6.426 3.022
Al 1.039 3.669 3.022
Al 3.697 0.934 1.058
Al 1.592 8.226 3.022
Al 4.250 5.492 1.058
Al 7.920 2.734 1.058
Au -1.508 4.181 3.079
Au -0.028 2.399 0.973
Au -3.198 7.986 0.973
Au 2.063 1.224 3.107
Au -0.914 8.376 3.079
Au 2.867 3.396 1.001
Au 2.422 5.764 3.079
Au 6.203 0.785 1.001
Au 3.226 7.937 0.973
Au 8.487 1.175 3.107
Au 5.317 6.762 3.107
Au 6.797 4.979 1.001
```


# 4
The following is a DFT calculation (PBE) of a geometry-optimized DyAl5Au7 structure.

Summary:
DFT formation energy (eV per atom): -0.48
ρ (Mg/m³): 12.0
Size of the total moment (μB/atom): 0.000

Geometry as extended XYZ:
```
13
Lattice="-2.773 4.651 4.513 2.773 -4.651 4.513 2.773 4.651 -4.513" Properties=species:S:1:pos:R:3 pbc="T T T"
Dy 0.000 0.000 0.000
Al 1.415 2.262 2.187
Al 4.131 2.262 2.187
Al 0.000 4.651 2.299
Al -1.358 2.389 6.700
Al 1.358 2.389 6.700
Au 2.773 1.772 -0.203
Au 2.773 0.000 2.048
Au 0.000 0.000 2.959
Au 0.000 3.098 0.082
Au 0.000 6.205 0.082
Au 0.000 0.000 6.159
Au 0.000 2.879 4.310
```


# 5
The following is a DFT calculation (PBE) of a geometry-optimized DyAl3Au3 structure.

Summary:
Energy above the lowest structure with this stoichiometry (kcal/mol of atoms): 8.46
DFT formation energy (eV per atom): -0.16
ρ (Mg/m³): 8.4
Size of the total moment (μB/atom): 0.000

Geometry as extended XYZ:
```
14
Lattice="6.921 0.000 0.000 0.000 6.921 0.000 0.000 0.000 6.921" Properties=species:S:1:pos:R:3 pbc="T T T"
Dy 0.000 0.000 0.000
Dy 3.460 3.460 3.460
Al 0.000 1.730 3.460
Al 0.000 5.191 3.460
Al 1.730 3.460 0.000
Al 3.460 0.000 1.730
Al 3.460 0.000 5.191
Al 5.191 3.460 0.000
Au 0.000 3.460 1.730
Au 0.000 3.460 5.191
Au 1.730 0.000 3.460
Au 3.460 1.730 0.000
Au 3.460 5.191 0.000
Au 5.191 0.000 3.460
```


# 6
The following is a DFT calculation (PBE) of a geometry-optimized DyAl3Au structure.

Summary:
Energy above the lowest structure with this stoichiometry (kcal/mol of atoms): 1.77
DFT formation energy (eV per atom): -0.50
ρ (Mg/m³): 7.5
Size of the total moment (μB/atom): 0.000

Geometry as extended XYZ:
```
20
Lattice="8.415 0.000 0.000 0.000 4.237 0.000 0.000 0.000 10.994" Properties=species:S:1:pos:R:3 pbc="T T T"
Dy 1.528 1.059 0.080
Dy 2.679 3.178 5.577
Dy 5.736 1.059 5.417
Dy 6.887 3.178 10.915
Al 0.619 1.059 6.556
Al 0.885 3.178 8.864
Al 1.121 3.178 2.293
Al 3.087 1.059 7.790
Al 3.323 1.059 3.367
Al 3.589 3.178 1.059
Al 4.827 1.059 9.935
Al 5.092 3.178 7.627
Al 5.329 3.178 3.205
Al 7.294 1.059 8.702
Al 7.531 1.059 2.130
Al 7.796 3.178 4.438
Au 0.862 1.059 3.966
Au 3.346 3.178 9.463
Au 5.070 1.059 1.531
Au 7.553 3.178 7.028
```


# 7
The following is a DFT calculation (PBE) of a geometry-optimized DyAl2Au structure.

Summary:
DFT formation energy (eV per atom): -0.60
ρ (Mg/m³): 8.6
Size of the total moment (μB/atom): 0.000

Geometry as extended XYZ:
```
16
Lattice="8.102 0.000 0.000 0.000 6.913 0.000 0.000 0.000 5.696" Properties=species:S:1:pos:R:3 pbc="T T T"
Dy 0.260 1.728 0.699
Dy 3.791 5.185 3.547
Dy 4.312 1.728 2.149
Dy 7.842 5.185 4.998
Al 1.561 0.375 3.444
Al 1.561 3.082 3.444
Al 2.490 3.831 0.596
Al 2.490 6.539 0.596
Al 5.612 0.375 5.100
Al 5.612 3.082 5.100
Al 6.541 3.831 2.252
Al 6.541 6.539 2.252
Au 0.715 5.185 2.114
Au 3.336 1.728 4.962
Au 4.766 5.185 0.734
Au 7.387 1.728 3.582
```


# 8
The following is a DFT calculation (PBE) of a geometry-optimized DyAl2Au structure.

Summary:
DFT formation energy (eV per atom): -0.51
ρ (Mg/m³): 8.7
Size of the total moment (μB/atom): 0.000

Geometry as extended XYZ:
```
4
Lattice="4.280 0.000 0.000 0.000 4.280 0.000 0.000 0.000 4.293" Properties=species:S:1:pos:R:3 pbc="T T T"
Dy 0.000 0.000 0.000
Al 0.000 2.140 2.147
Al 2.140 0.000 2.147
Au 2.140 2.140 0.000
```